# P2PbSe

An optimized crystal structure of P2PbSe (PBE, Alexandria).

Cell lengths 3.3003, 3.3003, 8.5119 Å; angles 90.00, 90.00, 90.00 degrees
Fractional coordinates of all 4 atoms:
Pb  0.0000  0.0000  0.4722
P  0.5000  0.5000  0.0735
P  0.0000  0.0000  0.1417
Se  0.5000  0.5000  0.8126

- Space-group type: P4mm (99)
- Energy: -17.5 eV for the cell shown
- Energy above the most stable polymorph in this dataset: 155 meV/atom
- Uncorrected formation energy: 0.545 eV/f.u.
- Calculated volume: 92.7 Å³/cell